(1)
Entry from the Alexandria database: a relaxed structure of BaPuH3 (PBE).

Output
Symmetry = Pm-3m (221)

The structure in extended XYZ format:
```
5
Lattice="-4.105 1.724 0.248 -0.682 -2.175 3.832 1.602 3.490 2.266" Properties=species:S:1:pos:R:3 pbc="T T T"
H -0.341 -1.087 1.916
H 0.801 1.745 1.133
H -2.052 0.862 0.124
Ba -1.592 1.520 3.173
Pu 0.000 0.000 0.000
```



(2)
Entry from the Alexandria database: a relaxed structure of Ba3Pu5H12 (PBE).

Output
Symmetry = Ia-3d (230)

The structure in extended XYZ format:
```
80
Lattice="12.259 0.000 0.000 -4.086 11.558 0.000 -4.086 -5.779 10.009" Properties=species:S:1:pos:R:3 pbc="T T T"
Ba 7.151 3.612 1.251
Ba 7.151 7.946 1.251
Ba -1.022 5.056 6.256
Ba 1.022 -0.722 3.753
Ba 9.194 0.000 2.502
Ba 1.022 5.779 2.502
Ba 3.065 0.000 7.507
Ba -5.108 5.779 7.507
Ba 3.065 6.501 6.256
Ba 5.108 0.722 3.753
Ba -3.065 -2.167 8.758
Ba -3.065 2.167 8.758
Pu -1.022 2.889 2.502
Pu -2.043 5.779 0.000
Pu 0.000 0.000 0.000
Pu 3.065 2.167 1.251
Pu 4.086 -2.889 5.005
Pu 4.086 5.779 0.000
Pu -3.065 6.501 3.753
Pu 5.108 -3.612 8.758
Pu 5.108 5.056 3.753
Pu 1.022 -2.889 7.507
Pu 3.065 8.668 2.502
Pu 2.043 2.889 5.005
Pu 6.129 0.000 0.000
Pu -2.043 -2.889 5.005
Pu -1.022 0.722 6.256
Pu -1.022 9.391 1.251
Pu -4.086 2.889 5.005
Pu 7.151 -0.722 6.256
Pu 1.022 3.612 8.758
Pu 5.108 2.889 7.507
H 7.987 1.251 0.423
H 0.185 3.881 4.133
H 9.036 2.601 2.915
H 5.266 1.665 1.295
H 1.483 4.340 6.671
H 8.661 5.824 1.666
H -0.864 6.714 4.210
H -3.223 9.893 1.295
H 0.560 7.218 6.671
H 5.640 5.734 1.666
H 6.315 3.149 3.710
H 6.315 10.307 0.423
H -3.526 5.058 5.427
H 2.532 4.313 0.794
H -4.272 8.409 3.710
H 2.229 -1.898 5.877
H -0.560 0.718 2.089
H 2.532 7.200 0.872
H 5.266 8.957 2.915
H -0.489 4.358 0.872
H -2.603 6.497 7.920
H 2.907 4.843 4.210
H 5.569 6.500 5.427
H 4.575 -1.466 9.215
H 1.179 0.936 5.799
H -1.483 -0.721 4.582
H -0.489 7.244 0.794
H -1.179 -3.178 7.094
H 6.690 -0.718 2.089
H 4.575 1.421 9.137
H 1.554 -1.421 9.137
H 1.858 7.677 4.133
H 4.646 5.061 7.920
H 8.358 -2.630 6.299
H 7.612 0.721 4.582
H -2.229 -4.528 9.586
H 1.554 1.466 9.215
H 3.526 -1.439 3.338
H -1.554 0.045 8.343
H -2.229 2.630 6.299
H 7.309 -4.114 8.714
H 4.950 -0.936 5.799
H -1.179 4.114 8.714
H -4.575 -0.045 8.343
H 2.603 1.439 3.338
H -4.950 3.178 7.094
H 3.901 1.898 5.877
H -3.901 4.528 9.586
```



(3)
Entry from the Alexandria database: a relaxed structure of Ba2PuH (PBE).

Output
Symmetry = R-3m (166)

The structure in extended XYZ format:
```
4
Lattice="-0.117 1.715 -3.415 -0.824 -2.032 -3.133 -10.582 1.936 -0.806" Properties=species:S:1:pos:R:3 pbc="T T T"
H -5.762 0.810 -3.677
Ba -7.100 1.244 -1.273
Ba -4.423 0.376 -6.081
Pu 0.000 0.000 0.000
```



(4)
Entry from the Alexandria database: a relaxed structure of RbBa2H (PBE).

Output
Symmetry = R-3m (166)
Energy relative to the lowest polymorph listed for this composition = 0.0277 eV/atom

The structure in extended XYZ format:
```
4
Lattice="-2.711 2.711 -2.054 -4.002 -1.325 -1.072 -6.339 4.334 9.485" Properties=species:S:1:pos:R:3 pbc="T T T"
H -6.526 2.860 3.180
Ba -4.834 2.913 5.621
Ba -8.219 2.808 0.739
Rb 0.000 0.000 0.000
```



Number 1: electronic total energy -5.454 eV/atom. Number 2: electronic total energy -5.993 eV/atom. Number 3: electronic total energy -5.084 eV/atom. Number 4: electronic total energy -2.075 eV/atom.